Record 1
VASP calculation (GGA-PBE) on crystalline Ac3CdPd6Au2 at its relaxed geometry.

The space group is P-3m1. The calculation puts the formation energy at -0.67 eV per atom.

abc: 5.8758 5.8758 9.1687
angles: 90.00 90.00 120.00
With the nearest neighbours (Å) after each atom.
Atoms (fractional coordinates):
1 Pd 0.6493 0.8246 0.2737  1 Cd 2.74, 2 Pd 2.78, 1 Au 2.89, 2 Ac 3.05
2 Pd 0.1754 0.8246 0.2737  1 Cd 2.74, 2 Pd 2.78, 1 Au 2.89, 2 Ac 3.05
3 Pd 0.1754 0.3507 0.2737  1 Cd 2.74, 2 Pd 2.78, 1 Au 2.89, 2 Ac 3.05
4 Pd 0.8246 0.6493 0.7263  1 Cd 2.74, 2 Pd 2.78, 1 Au 2.89, 2 Ac 3.05
5 Pd 0.3507 0.1754 0.7263  1 Cd 2.74, 2 Pd 2.78, 1 Au 2.89, 2 Ac 3.05
6 Pd 0.8246 0.1754 0.7263  1 Cd 2.74, 2 Pd 2.78, 1 Au 2.89, 2 Ac 3.05
7 Ac 0.3333 0.6667 0.6363  6 Pd 3.05
8 Ac 0.6667 0.3333 0.3637  6 Pd 3.05
9 Ac 0.0000 0.0000 0.0000  6 Pd 3.08, 6 Au 3.39
10 Cd 0.0000 0.0000 0.5000  6 Pd 2.74
11 Au 0.3333 0.6667 0.0123  3 Pd 2.89
12 Au 0.6667 0.3333 0.9877  3 Pd 2.89



Record 2
VASP calculation (GGA-PBE) on crystalline Pm3Pr2Sm4 at its relaxed geometry.

The calculation puts the energy above the most stable polymorph in this dataset at 33 meV/atom. The space group is C2/m. The calculation puts the formation energy at 0.09 eV per atom.

abc: 5.8695 10.2940 13.2832
angles: 151.17 90.00 106.57
With the nearest neighbours (Å) after each atom.
Atoms (fractional coordinates):
1 Pr 0.2689 0.5377 0.8351  5 Sm 3.32-3.67, 3 Pm 3.64-3.70
2 Pr 0.7311 0.4623 0.1649  5 Sm 3.32-3.67, 3 Pm 3.64-3.70
3 Pm 0.0000 0.0000 0.0000  2 Pm 3.46, 8 Sm 3.68-3.87
4 Pm 0.4279 0.8557 0.5426  1 Pm 3.46, 6 Sm 3.50-3.85, 3 Pr 3.64-3.70
5 Pm 0.5721 0.1443 0.4574  1 Pm 3.46, 6 Sm 3.50-3.85, 3 Pr 3.64-3.70
6 Sm 0.2793 0.5586 0.5995  2 Pr 3.32-3.67, 3 Sm 3.37-3.44, 4 Pm 3.64-3.68
7 Sm 0.7207 0.4414 0.4005  2 Pr 3.32-3.67, 3 Sm 3.37-3.44, 4 Pm 3.64-3.68
8 Sm 0.8605 0.7210 0.0897  3 Sm 3.44-3.78, 3 Pr 3.48-3.49, 3 Pm 3.50-3.55
9 Sm 0.1395 0.2790 0.9103  3 Sm 3.44-3.78, 3 Pr 3.48-3.49, 3 Pm 3.50-3.55



Record 3
VASP calculation (GGA-PBE) on crystalline ZrTlCl2 at its relaxed geometry.

The calculation puts the energy above the most stable polymorph in this dataset at 707 meV/atom. The space group is Cmmm. The uncorrected formation energy is -0.37 eV per atom.

abc: 5.4685 5.4685 3.2474
angles: 90.00 90.00 108.44
With the nearest neighbours (Å) after each atom.
Atoms (fractional coordinates):
1 Zr 0.0000 0.5000 0.5000  8 Cl 3.18, 2 Tl 3.20, 2 Zr 3.25
2 Cl 0.5000 0.5000 0.0000  4 Zr 3.18, 4 Tl 3.18, 4 Cl 3.20-3.25
3 Cl 0.0000 0.0000 0.0000  4 Tl 3.18, 4 Zr 3.18, 4 Cl 3.20-3.25
4 Tl 0.5000 0.0000 0.5000  8 Cl 3.18, 2 Zr 3.20, 2 Tl 3.25



Record 4
VASP calculation (GGA-PBE) on crystalline GaNiMo at its relaxed geometry.

The space group is P6_222. The calculation puts the formation energy at 0.28 eV per atom.

abc: 5.1992 5.1992 11.2769
angles: 90.00 90.00 120.00
With the nearest neighbours (Å) after each atom.
Atoms (fractional coordinates):
1 Ni 0.6330 0.2661 0.1667  4 Ga 2.35-2.43, 1 Ni 2.40, 2 Mo 2.52
2 Ni 0.2661 0.6330 0.8333  4 Ga 2.35-2.43, 1 Ni 2.40, 2 Mo 2.52
3 Ni 0.3670 0.7339 0.1667  4 Ga 2.35-2.43, 1 Ni 2.40, 2 Mo 2.52
4 Ni 0.6330 0.3670 0.5000  4 Ga 2.35-2.43, 1 Ni 2.40, 2 Mo 2.52
5 Ni 0.7339 0.3670 0.8333  4 Ga 2.35-2.43, 1 Ni 2.40, 2 Mo 2.52
6 Ni 0.3670 0.6330 0.5000  4 Ga 2.35-2.43, 1 Ni 2.40, 2 Mo 2.52
7 Mo 0.0000 0.0000 0.5000  4 Ni 2.86, 4 Ga 3.08
8 Mo 0.5000 0.0000 0.6667  4 Ni 2.52, 4 Ga 2.61
9 Mo 0.5000 0.5000 0.0000  4 Ni 2.52, 4 Ga 2.61
10 Mo 0.0000 0.0000 0.1667  4 Ni 2.86, 4 Ga 3.08
11 Mo 0.0000 0.0000 0.8333  4 Ni 2.86, 4 Ga 3.08
12 Mo 0.0000 0.5000 0.3333  4 Ni 2.52, 4 Ga 2.61
13 Ga 0.0000 0.5000 0.6458  4 Ni 2.35-2.43, 2 Mo 2.61
14 Ga 0.5000 0.5000 0.6876  4 Ni 2.35-2.43, 2 Mo 2.61
15 Ga 0.0000 0.5000 0.0209  4 Ni 2.35-2.43, 2 Mo 2.61
16 Ga 0.5000 0.0000 0.3542  4 Ni 2.35-2.43, 2 Mo 2.61
17 Ga 0.5000 0.0000 0.9791  4 Ni 2.35-2.43, 2 Mo 2.61
18 Ga 0.5000 0.5000 0.3124  4 Ni 2.35-2.43, 2 Mo 2.61



| no. | DFT total energy (eV for the cell shown) | Fermi-level density of states (states/eV/f.u.) |
| --- | --- | --- |
| 1 | -59.0 | 5.55 |
| 2 | -41.9 | 14.79 |
| 3 | -16.1 | 2.43 |
| 4 | -112.8 | 2.74 |